Record 1
Entry from the Alexandria database: a PBEsol-optimized structure of Te2MoCl (meta-GGA SCAN).

The structure belongs to space group R-3m (No. 166, hexagonal axes); the cell edges are 3.0364, 3.0364 and 33.8986 Å and the angles 90.00°, 90.00° and 120.00°. The asymmetric unit holds Te at (0.0000, 0.0000, 0.0805), Mo at (0.0000, 0.0000, 0.0000) and Cl at (0.0000, 0.0000, 0.5000).

The uncorrected formation energy is 0.67 eV/atom. Its density of states at the Fermi level is 1.127 states/eV per atom. The polymorph energy (0 for the lowest one) is 848 meV/atom. The calculation puts the energy at -28.67 eV per atom.

Record 2
Entry from the Alexandria database: a PBEsol-optimized structure of MgMoPb2 (meta-GGA SCAN).

The structure belongs to space group Fm-3m (No. 225); the cell edges are 6.963, 6.963 and 6.963 Å and the angles 90.00°, 90.00° and 90.00°. The asymmetric unit holds Mg at (0.000, 0.000, 0.000), Mo at (0.000, 0.000, 0.500) and Pb at (0.250, 0.250, 0.250).

Its density of states at the Fermi level is 1.120 states/eV per atom. The calculation puts the energy at -47.25 eV per atom.

Record 3
Entry from the Alexandria database: a PBEsol-optimized structure of HgAs2 (meta-GGA SCAN).

The structure belongs to space group P4/mmm (No. 123); the cell edges are 3.928, 3.928 and 4.373 Å and the angles 90.00°, 90.00° and 90.00°. The asymmetric unit holds Hg at (0.000, 0.000, 0.000) and As at (0.000, 0.500, 0.500).

Its density of states at the Fermi level is 0.422 states/eV per atom. The calculation puts the energy at -35.84 eV per atom.

Question: Which of these has the highest energy?
Answer: Te2MoCl

Question: Number 2 is which compound?
Answer: MgMoPb2

Please write out number 1 again, unchanged.
Entry from the Alexandria database: a PBEsol-optimized structure of Te2MoCl (meta-GGA SCAN).

The structure belongs to space group R-3m (No. 166, hexagonal axes); the cell edges are 3.0364, 3.0364 and 33.8986 Å and the angles 90.00°, 90.00° and 120.00°. The asymmetric unit holds Te at (0.0000, 0.0000, 0.0805), Mo at (0.0000, 0.0000, 0.0000) and Cl at (0.0000, 0.0000, 0.5000).

The uncorrected formation energy is 0.67 eV/atom. Its density of states at the Fermi level is 1.127 states/eV per atom. The polymorph energy (0 for the lowest one) is 848 meV/atom. The calculation puts the energy at -28.67 eV per atom.

Question: energy of number 2 (MgMoPb2)?
Answer: -47.25 eV per atom